4
Lattice="0.000 3.160 3.160 3.160 0.000 3.160 3.160 3.160 0.000" Properties=species:S:1:pos:R:3 comment="TaCoSnRh (PBE, optimized geometry)" final_energy_ry_per_atom=-0.5735 m_tot_mub_per_fu=1.3 pbc="T T T"
Ta 0.000 0.000 0.000
Co 1.580 1.580 1.580
Sn 3.160 3.160 3.160
Rh 4.740 4.740 4.740